Here is a relaxed Ba3CoAg2O6 crystal from the Alexandria database. Energies are from PBE with a Hubbard U.

CIF file:
```
data_Ba3CoAg2O6
_chemical_formula_sum 'Ba3 Co1 Ag2 O6'
_space_group_name_H-M_alt 'P 1'
_space_group_IT_number 1
_space_group_name_Hall 'P 1'
_cell_length_a 5.987
_cell_length_b 5.987
_cell_length_c 6.706
_cell_angle_alpha 90.00
_cell_angle_beta 90.00
_cell_angle_gamma 120.00
loop_
_atom_site_label
_atom_site_type_symbol
_atom_site_fract_x
_atom_site_fract_y
_atom_site_fract_z
_atom_site_occupancy
Ba1 Ba 0.667 0.333 0.371 1
O1 O 0.843 0.687 0.671 1
Co1 Co 0.000 0.000 0.500 1
Ba2 Ba 0.333 0.667 0.629 1
Ag1 Ag 0.667 0.333 0.859 1
O2 O 0.157 0.313 0.329 1
O3 O 0.157 0.843 0.329 1
O4 O 0.313 0.157 0.671 1
Ag2 Ag 0.333 0.667 0.141 1
O5 O 0.843 0.157 0.671 1
Ba3 Ba 0.000 0.000 0.000 1
O6 O 0.687 0.843 0.329 1
```

Electronic total energy in eV per cell: -62.4
Fermi-level density of states in states/eV/f.u.: 1.8
Spin magnetization in μB/atom: 0.239